No. 1
A plane-wave DFT calculation with PBE was carried out for crystalline ZnSiAs at its relaxed geometry.

abc: 2.8163 2.8163 7.4523
angles: 90.00 90.00 120.00
Space group P3m1 (No. 156)
Inequivalent atoms, fractional coordinates:
Zn 0.0000 0.0000 0.0000
Si 0.3333 0.6667 0.6799
As 0.6667 0.3333 0.3520

Properties
Raw formation energy, eV/atom: 0.4079
Total magnetization, μB per atom: 0.0000
Fermi-level density of states, states/eV/cell: 1.38
Energy relative to the lowest polymorph listed for this composition, kJ/mol of formula units: 37

***

No. 2
A plane-wave DFT calculation with PBE was carried out for crystalline CaCd2Pb at its relaxed geometry.

abc: 4.666 4.666 9.801
angles: 90.00 90.00 90.00
Space group I4/mmm (No. 139)
Inequivalent atoms, fractional coordinates:
Ca 0.000 0.000 0.000
Cd 0.000 0.500 0.250
Pb 0.000 0.000 0.500

Properties
Total magnetization, μB per atom: 0.0000
Fermi-level density of states, states/eV/cell: 3.48
E_form, eV per atom: -0.27

***

No. 3
A plane-wave DFT calculation with PBE was carried out for crystalline YHo2ScBi4 at its relaxed geometry.

abc: 7.658 4.424 7.658
angles: 90.00 109.47 90.00
Space group P2/m (No. 10)
Inequivalent atoms, fractional coordinates:
Y 0.000 0.000 0.000
Ho 0.000 0.500 0.500
Ho 0.500 0.000 0.500
Sc 0.500 0.500 0.000
Bi 0.256 0.500 0.247
Bi 0.259 0.000 0.758

Properties
Total magnetization, μB per atom: 0.0000
Fermi-level density of states, states/eV/cell: 1.37
E_form, eV per atom: -0.80

***

No. 4
A plane-wave DFT calculation with PBE was carried out for crystalline PuGaCo4H6 at its relaxed geometry.

abc: 4.2186 4.2186 6.6534
angles: 90.00 90.00 120.00
Space group P6/mmm (No. 191)
Inequivalent atoms, fractional coordinates:
Pu 0.0000 0.0000 0.0000
Ga 0.0000 0.0000 0.5000
Co 0.3333 0.6667 0.3182
H 0.0000 0.5000 0.1526

Properties
VASP energy, eV per atom: -5.64
Total magnetization, μB per atom: 0.7774
Fermi-level density of states, states/eV/cell: 18.61

***

No. 5
A plane-wave DFT calculation with PBE was carried out for crystalline CsHg3Ru at its relaxed geometry.

abc: 6.905 6.905 6.905
angles: 90.00 90.00 90.00
Space group Pm-3m (No. 221)
Inequivalent atoms, fractional coordinates:
Cs 0.000 0.000 0.000
Hg 0.000 0.000 0.500
Ru 0.500 0.500 0.500

Properties
Total magnetization, μB per atom: 0.6000
Fermi-level density of states, states/eV/cell: 19.70
E_form, eV per atom: 1.31
Energy relative to the lowest polymorph listed for this composition, kJ/mol of formula units: 586

***

No. 6
A plane-wave DFT calculation with PBE was carried out for crystalline CaCeNi4 at its relaxed geometry.

abc: 7.188 7.188 7.188
angles: 90.00 90.00 90.00
Space group F-43m (No. 216)
Inequivalent atoms, fractional coordinates:
Ca 0.000 0.000 0.000
Ce 0.250 0.250 0.250
Ni 0.125 0.125 0.625

Properties
Total magnetization, μB per atom: 0.0251
Fermi-level density of states, states/eV/cell: 25.01
E_form, eV per atom: -0.29

***

No. 7
A plane-wave DFT calculation with PBE was carried out for crystalline LaVP3 at its relaxed geometry.

abc: 4.609 4.609 4.609
angles: 90.00 90.00 90.00
Space group Pm-3m (No. 221)
Inequivalent atoms, fractional coordinates:
La 0.000 0.000 0.000
V 0.500 0.500 0.500
P 0.000 0.500 0.500

Properties
Total magnetization, μB per atom: 0.0000
Fermi-level density of states, states/eV/cell: 3.43
E_form, eV per atom: -0.63
Energy relative to the lowest polymorph listed for this composition, kJ/mol of formula units: 0

***

No. 8
A plane-wave DFT calculation with PBE was carried out for crystalline LiSmZnPb at its relaxed geometry.

abc: 7.240 7.240 7.240
angles: 90.00 90.00 90.00
Space group F-43m (No. 216)
Inequivalent atoms, fractional coordinates:
Li 0.000 0.000 0.000
Sm 0.000 0.000 0.500
Zn 0.250 0.250 0.250
Pb 0.250 0.250 0.750

Properties
Total magnetization, μB per atom: 0.0000
Fermi-level density of states, states/eV/cell: 4.39
E_form, eV per atom: -0.34

***

No. 9
A plane-wave DFT calculation with PBE was carried out for crystalline Pu2Mg2Zn15 at its relaxed geometry.

abc: 9.1063 9.1063 13.4152
angles: 90.00 90.00 120.00
Space group R-3m (No. 166, hexagonal axes)
Inequivalent atoms, fractional coordinates:
Pu 0.0000 0.0000 0.1574
Mg 0.0000 0.0000 0.3951
Zn 0.0000 0.2964 0.5000
Zn 0.0000 0.5000 0.0000
Zn 0.0101 0.5050 0.6493

Properties
Total magnetization, μB per atom: 0.5920
Fermi-level density of states, states/eV/cell: 69.93
E_form, eV per atom: -0.14

***

No. 10
A plane-wave DFT calculation with PBE was carried out for crystalline PuZr2Si at its relaxed geometry.

abc: 3.5403 3.5403 25.5513
angles: 90.00 90.00 120.00
Space group R-3m (No. 166, hexagonal axes)
Inequivalent atoms, fractional coordinates:
Pu 0.0000 0.0000 0.0000
Zr 0.0000 0.0000 0.2313
Si 0.0000 0.0000 0.5000

Properties
Raw formation energy, eV/atom: -0.0915
Total magnetization, μB per atom: 1.5256
Fermi-level density of states, states/eV/cell: 23.57

***

No. 11
A plane-wave DFT calculation with PBE was carried out for crystalline LaTlAg3 at its relaxed geometry.

abc: 5.776 5.776 5.776
angles: 90.00 90.00 90.00
Space group Pm-3m (No. 221)
Inequivalent atoms, fractional coordinates:
La 0.000 0.000 0.000
Tl 0.500 0.500 0.500
Ag 0.000 0.000 0.500

Properties
Total magnetization, μB per atom: 0.0000
Fermi-level density of states, states/eV/cell: 2.80
E_form, eV per atom: 0.70
Energy relative to the lowest polymorph listed for this composition, kJ/mol of formula units: 350

***

No. 12
A plane-wave DFT calculation with PBE was carried out for crystalline Dy3CdAg4 at its relaxed geometry.

abc: 10.058 7.225 5.028
angles: 90.00 90.00 90.00
Space group Pmma (No. 51)
Inequivalent atoms, fractional coordinates:
Dy 0.000 0.000 0.000
Dy 0.250 0.000 0.499
Dy 0.250 0.500 0.499
Cd 0.000 0.500 0.000
Ag 0.000 0.252 0.500
Ag 0.250 0.252 0.999

Properties
Total magnetization, μB per atom: 0.0000
Fermi-level density of states, states/eV/cell: 8.48
E_form, eV per atom: -0.26

***

No. 13
A plane-wave DFT calculation with PBE was carried out for crystalline CaPBr2 at its relaxed geometry.

abc: 3.7341 3.7341 29.4016
angles: 90.00 90.00 120.00
Space group R-3m (No. 166, hexagonal axes)
Inequivalent atoms, fractional coordinates:
Ca 0.0000 0.0000 0.0000
P 0.0000 0.0000 0.5000
Br 0.0000 0.0000 0.0937

Properties
Raw formation energy, eV/atom: 0.1901
Total magnetization, μB per atom: 0.1869
Fermi-level density of states, states/eV/cell: 7.50
Energy relative to the lowest polymorph listed for this composition, kJ/mol of formula units: 403

***

No. 14
A plane-wave DFT calculation with PBE was carried out for crystalline SrBiI3 at its relaxed geometry.

abc: 6.364 6.364 6.364
angles: 90.00 90.00 90.00
Space group Pm-3m (No. 221)
Inequivalent atoms, fractional coordinates:
Sr 0.000 0.000 0.000
Bi 0.500 0.500 0.500
I 0.000 0.000 0.500

Properties
Raw formation energy, eV/atom: -0.5358
Total magnetization, μB per atom: 0.4000
Fermi-level density of states, states/eV/cell: 11.16
Energy relative to the lowest polymorph listed for this composition, kJ/mol of formula units: 0

***

No. 15
A plane-wave DFT calculation with PBE was carried out for crystalline YPuZnGa at its relaxed geometry.

abc: 7.169 7.169 7.169
angles: 90.00 90.00 90.00
Space group F-43m (No. 216)
Inequivalent atoms, fractional coordinates:
Y 0.000 0.000 0.000
Pu 0.000 0.000 0.500
Zn 0.250 0.250 0.250
Ga 0.250 0.250 0.750

Properties
Total magnetization, μB per atom: 1.5125
Fermi-level density of states, states/eV/cell: 27.38
E_form, eV per atom: -0.31

***

No. 16
A plane-wave DFT calculation with PBE was carried out for crystalline ReAsRu2 at its relaxed geometry.

abc: 2.859 3.961 5.257
angles: 90.00 90.00 90.00
Space group Pmm2 (No. 25)
Inequivalent atoms, fractional coordinates:
Re 0.000 0.000 0.000
As 0.500 0.500 0.683
Ru 0.000 0.000 0.512
Ru 0.500 0.500 0.180

Properties
Total magnetization, μB per atom: 0.0000
Fermi-level density of states, states/eV/cell: 3.17
E_form, eV per atom: 0.23

***

No. 17
A plane-wave DFT calculation with PBE was carried out for crystalline Pu2Co3NiAs4 at its relaxed geometry.

abc: 4.134 4.134 9.371
angles: 90.00 90.00 90.00
Space group P-4m2 (No. 115)
Inequivalent atoms, fractional coordinates:
Pu 0.000 0.500 0.248
Co 0.000 0.500 0.885
Co 0.500 0.500 0.500
Ni 0.000 0.000 0.500
As 0.000 0.000 0.000
As 0.000 0.500 0.637
As 0.500 0.500 0.000

Properties
Total magnetization, μB per atom: 1.0800
Fermi-level density of states, states/eV/cell: 28.01
E_form, eV per atom: -0.58

***

No. 18
A plane-wave DFT calculation with PBE was carried out for crystalline PuTl3Ag2Se6 at its relaxed geometry.

abc: 7.174 12.254 7.508
angles: 90.00 108.89 90.00
Space group C2/m (No. 12)
Inequivalent atoms, fractional coordinates:
Pu 0.000 0.000 0.000
Tl 0.000 0.158 0.500
Tl 0.000 0.500 0.500
Ag 0.000 0.330 0.000
Se 0.234 0.500 0.214
Se 0.238 0.167 0.225

Properties
Raw formation energy, eV/atom: -0.4410
Total magnetization, μB per atom: 0.3596
Fermi-level density of states, states/eV/cell: 25.20

***

No. 19
A plane-wave DFT calculation with PBE was carried out for crystalline GaTeIrPb2 at its relaxed geometry.

abc: 5.624 5.624 4.614
angles: 90.00 90.00 90.00
Space group P4/mmm (No. 123)
Inequivalent atoms, fractional coordinates:
Ga 0.000 0.000 0.000
Te 0.500 0.500 0.500
Ir 0.000 0.000 0.500
Pb 0.000 0.500 0.000

Properties
Raw formation energy, eV/atom: 0.5639
Total magnetization, μB per atom: 0.0000
Fermi-level density of states, states/eV/cell: 4.38

***

No. 20
A plane-wave DFT calculation with PBE was carried out for crystalline In5Hg3 at its relaxed geometry.

abc: 11.111 11.116 3.470
angles: 90.00 90.00 90.00
Space group Cmmm (No. 65)
Inequivalent atoms, fractional coordinates:
In 0.000 0.000 0.000
In 0.242 0.500 0.500
In 0.250 0.250 0.000
Hg 0.000 0.249 0.500
Hg 0.000 0.500 0.000

Properties
Total magnetization, μB per atom: 0.0000
Fermi-level density of states, states/eV/cell: 7.12
E_form, eV per atom: 0.02
Energy relative to the lowest polymorph listed for this composition, kJ/mol of formula units: 6

***

No. 21
A plane-wave DFT calculation with PBE was carried out for crystalline Tb4AgPd3 at its relaxed geometry.

abc: 3.755 4.670 10.636
angles: 90.00 90.00 90.00
Space group Pmm2 (No. 25)
Inequivalent atoms, fractional coordinates:
Tb 0.000 0.000 0.000
Tb 0.000 0.500 0.267
Tb 0.500 0.000 0.484
Tb 0.500 0.500 0.770
Ag 0.000 0.000 0.712
Pd 0.000 0.500 0.545
Pd 0.500 0.000 0.216
Pd 0.500 0.500 0.044

Properties
Total magnetization, μB per atom: 0.0000
Fermi-level density of states, states/eV/cell: 5.44
E_form, eV per atom: -0.75

***

No. 22
A plane-wave DFT calculation with PBE was carried out for crystalline BeCoCu2 at its relaxed geometry.

abc: 2.442 3.780 4.781
angles: 90.00 103.84 90.00
Space group P2/m (No. 10)
Inequivalent atoms, fractional coordinates:
Be 0.000 0.000 0.000
Co 0.000 0.000 0.500
Cu 0.421 0.500 0.239

Properties
Total magnetization, μB per atom: 0.3161
Fermi-level density of states, states/eV/cell: 2.77
E_form, eV per atom: 0.07

***

No. 23
A plane-wave DFT calculation with PBE was carried out for crystalline Pm6Ge3PbS2 at its relaxed geometry.

abc: 18.316 4.176 8.648
angles: 90.00 101.40 90.00
Space group C2/m (No. 12)
Inequivalent atoms, fractional coordinates:
Pm 0.006 0.000 0.273
Pm 0.167 0.500 0.585
Pm 0.175 0.500 0.099
Ge 0.000 0.500 0.500
Ge 0.162 0.000 0.837
Pb 0.000 0.500 0.000
S 0.170 0.000 0.342

Properties
Raw formation energy, eV/atom: -1.1449
Total magnetization, μB per atom: 0.0000
Fermi-level density of states, states/eV/cell: 11.94

***

No. 24
A plane-wave DFT calculation with PBE was carried out for crystalline KHg2As at its relaxed geometry.

abc: 5.638 5.638 19.240
angles: 90.00 90.00 90.00
Space group I-42d (No. 122)
Inequivalent atoms, fractional coordinates:
K 0.000 0.000 0.000
Hg 0.004 0.250 0.625
As 0.000 0.000 0.500

Properties
Total magnetization, μB per atom: 0.0000
Fermi-level density of states, states/eV/cell: 1.18
E_form, eV per atom: -0.07

***

No. 25
A plane-wave DFT calculation with PBE was carried out for crystalline Cs3Cd2Br7 at its relaxed geometry.

abc: 5.644 5.644 28.925
angles: 90.00 90.00 90.00
Space group I4/mmm (No. 139)
Inequivalent atoms, fractional coordinates:
Cs 0.000 0.000 0.000
Cs 0.000 0.000 0.180
Cd 0.000 0.000 0.401
Br 0.000 0.000 0.307
Br 0.000 0.000 0.500
Br 0.000 0.500 0.094

Properties
Raw formation energy, eV/atom: -1.3391
Total magnetization, μB per atom: 0.0000
Energy relative to the lowest polymorph listed for this composition, kJ/mol of formula units: 0